[1]
Material: LaTiNbO6
Method: DFT, PBE
State: relaxed

Relative energy among the computed polymorphs (meV per atom): 0

Unit cell a=11.145 b=5.474 c=7.635 alpha=90.00 beta=90.00 gamma=90.00
Space group Pna2_1 (No. 33)
Symmetry-distinct sites (fractional):
La: 0.041 0.043 0.000 [4 per cell]
Ti: 0.140 0.531 0.264 [4 per cell]
Nb: 0.148 0.533 0.749 [4 per cell]
O: 0.026 0.270 0.712 [4 per cell]
O: 0.028 0.269 0.285 [4 per cell]
O: 0.123 0.652 0.495 [4 per cell]
O: 0.144 0.455 0.999 [4 per cell]
O: 0.209 0.866 0.191 [4 per cell]
O: 0.213 0.873 0.803 [4 per cell]

---

[2]
Material: LaTiNbO6
Method: DFT, PBE
State: relaxed

Relative energy among the computed polymorphs (meV per atom): 14

Unit cell a=5.2658 b=5.2658 c=10.3774 alpha=90.00 beta=90.00 gamma=120.00
Space group P-31c (No. 163)
Symmetry-distinct sites (fractional):
La: 0.0000 0.0000 0.0000 [2 per cell]
Ti: 0.3333 0.6667 0.2500 [2 per cell]
Nb: 0.3333 0.6667 0.7500 [2 per cell]
O: 0.0051 0.3735 0.1438 [12 per cell]

---

[3]
Material: LaTiNbO6
Method: DFT, PBE
State: relaxed

Relative energy among the computed polymorphs (meV per atom): 10

Unit cell a=11.260 b=8.952 c=5.316 alpha=90.00 beta=114.82 gamma=90.00
Space group C2 (No. 5)
Symmetry-distinct sites (fractional):
La: 0.000 0.000 0.000 [2 per cell]
La: 0.000 0.373 0.500 [2 per cell]
Ti: 0.235 0.602 0.205 [4 per cell]
Nb: 0.229 0.766 0.697 [4 per cell]
O: 0.140 0.145 0.402 [4 per cell]
O: 0.140 0.225 0.900 [4 per cell]
O: 0.140 0.764 0.287 [4 per cell]
O: 0.140 0.931 0.776 [4 per cell]
O: 0.141 0.601 0.796 [4 per cell]
O: 0.146 0.443 0.282 [4 per cell]

---

[4]
Material: LaNb2Tl2O7
Method: DFT, PBE
State: relaxed

Unit cell a=5.730 b=5.712 c=11.877 alpha=90.00 beta=101.33 gamma=90.00
Space group C2/m (No. 12)
Symmetry-distinct sites (fractional):
La: 0.000 0.000 0.000 [2 per cell]
Nb: 0.076 0.500 0.182 [4 per cell]
Tl: 0.190 0.000 0.390 [4 per cell]
O: 0.000 0.500 0.000 [2 per cell]
O: 0.132 0.500 0.344 [4 per cell]
O: 0.186 0.250 0.847 [8 per cell]

---

no.,formation energy from raw total energies (meV per atom)
1,-3069
2,-3054
3,-3058
4,-2308